[1]
DFT (PBE) results for a relaxed CsRbBaBr4 crystal.

Geometry as POSCAR:
```
CsRbBaBr4
1.0
-3.147 3.147 9.100
3.147 -3.147 9.100
3.147 3.147 -9.100
Cs Rb Ba Br
1 1 1 4
direct
0.000 0.000 0.000
0.721 0.721 0.000
0.363 0.363 0.000
0.189 0.189 0.000
0.355 0.855 0.500
0.538 0.538 0.000
0.855 0.355 0.500
```

Properties
Formation energy (no corrections): -13.16 eV per formula unit
Space group: I4mm
Total moment: 0.16 Bohr magnetons per cell


[2]
DFT (PBE) results for a relaxed Cs2BaReBr6 crystal.

Geometry as POSCAR:
```
Cs2BaReBr6
1.0
0.000 5.720 5.720
5.720 0.000 5.720
5.720 5.720 0.000
Cs Ba Re Br
2 1 1 6
direct
0.250 0.250 0.250
0.750 0.750 0.750
0.000 0.000 0.000
0.500 0.500 0.500
0.275 0.275 0.725
0.275 0.725 0.275
0.275 0.725 0.725
0.725 0.275 0.275
0.725 0.275 0.725
0.725 0.725 0.275
```

Properties
Formation energy (no corrections): -11.42 eV per formula unit
Space group: Fm-3m
Total moment: 1.00 Bohr magnetons per cell


[3]
DFT (PBE) results for a relaxed Cs2BaRuBr6 crystal.

Geometry as POSCAR:
```
Cs2BaRuBr6
1.0
0.000 5.706 5.706
5.706 0.000 5.706
5.706 5.706 0.000
Cs Ba Ru Br
2 1 1 6
direct
0.250 0.250 0.250
0.750 0.750 0.750
0.000 0.000 0.000
0.500 0.500 0.500
0.276 0.276 0.724
0.276 0.724 0.276
0.276 0.724 0.724
0.724 0.276 0.276
0.724 0.276 0.724
0.724 0.724 0.276
```

Properties
Formation energy (no corrections): -13.26 eV per formula unit
Space group: Fm-3m
Total moment: 0.00 Bohr magnetons per cell


[4]
DFT (PBE) results for a relaxed CsBaScBr6 crystal.

Geometry as POSCAR:
```
CsBaScBr6
1.0
7.902 0.000 0.000
-3.951 6.843 0.000
0.000 0.000 15.069
Cs Ba Sc Br
2 2 2 12
direct
0.000 0.000 0.000
0.000 0.000 0.500
0.333 0.667 0.250
0.667 0.333 0.750
0.333 0.667 0.750
0.667 0.333 0.250
0.053 0.398 0.645
0.053 0.655 0.855
0.345 0.398 0.855
0.345 0.947 0.645
0.398 0.053 0.145
0.398 0.345 0.355
0.602 0.655 0.645
0.602 0.947 0.855
0.655 0.053 0.355
0.655 0.602 0.145
0.947 0.345 0.145
0.947 0.602 0.355
```

Properties
Formation energy (no corrections): -17.08 eV per formula unit
Space group: P-31c
Total moment: 0.00 Bohr magnetons per cell


[5]
DFT (PBE) results for a relaxed Cs2BaScBr6 crystal.

Geometry as POSCAR:
```
Cs2BaScBr6
1.0
0.000 5.901 5.901
5.901 0.000 5.901
5.901 5.901 0.000
Cs Ba Sc Br
2 1 1 6
direct
0.250 0.250 0.250
0.750 0.750 0.750
0.000 0.000 0.000
0.500 0.500 0.500
0.268 0.268 0.732
0.268 0.732 0.268
0.268 0.732 0.732
0.732 0.268 0.268
0.732 0.268 0.732
0.732 0.732 0.268
```

Properties
Formation energy (no corrections): -17.83 eV per formula unit
Space group: Fm-3m
Total moment: 1.00 Bohr magnetons per cell


[6]
DFT (PBE) results for a relaxed CsBaSeBr2 crystal.

Geometry as POSCAR:
```
CsBaSeBr2
1.0
6.349 0.000 0.000
0.000 6.349 0.000
0.000 0.000 6.370
Cs Ba Se Br
1 1 1 2
direct
0.000 0.000 0.000
0.500 0.500 0.500
0.500 0.500 0.000
0.000 0.500 0.500
0.500 0.000 0.500
```

Properties
Formation energy (no corrections): -7.32 eV per formula unit
Space group: P4/mmm
Total moment: 1.01 Bohr magnetons per cell
Relative energy among the computed polymorphs: 0.000 eV per atom


[7]
DFT (PBE) results for a relaxed CsBaSeBr2 crystal.

Geometry as POSCAR:
```
CsBaSeBr2
1.0
6.340 0.000 0.000
0.000 6.340 0.000
0.000 0.000 5.805
Cs Ba Se Br
1 1 1 2
direct
0.000 0.000 0.000
0.500 0.500 0.500
0.000 0.000 0.500
0.000 0.500 0.000
0.500 0.000 0.000
```

Properties
Formation energy (no corrections): -4.65 eV per formula unit
Space group: P4/mmm
Total moment: 0.00 Bohr magnetons per cell
Relative energy among the computed polymorphs: 0.535 eV per atom


[8]
DFT (PBE) results for a relaxed CsBaSmBr6 crystal.

Geometry as POSCAR:
```
CsBaSmBr6
1.0
8.142 0.000 0.000
-4.071 7.052 0.000
0.000 0.000 15.068
Cs Ba Sm Br
2 2 2 12
direct
0.000 0.000 0.000
0.000 0.000 0.500
0.333 0.667 0.250
0.667 0.333 0.750
0.333 0.667 0.750
0.667 0.333 0.250
0.034 0.392 0.639
0.034 0.642 0.861
0.358 0.392 0.861
0.358 0.966 0.639
0.392 0.034 0.139
0.392 0.358 0.361
0.608 0.642 0.639
0.608 0.966 0.861
0.642 0.034 0.361
0.642 0.608 0.139
0.966 0.358 0.139
0.966 0.608 0.361
```

Properties
Formation energy (no corrections): -17.86 eV per formula unit
Space group: P-31c
Total moment: 0.00 Bohr magnetons per cell